Density functional theory data (GGA-PBE) for an optimized crystal structure of ZrIn2Cu2.

Values from the calculation:
**D(E_F)**: 3.3 states/eV/cell
**Spin magnetization**: 0.0 Bohr magnetons per cell
**Uncorrected energy**: -4.375 eV per atom
**Energy above the lowest structure with this stoichiometry**: 0.1122 eV/atom

a b c (Å): 6.692 6.692 6.692
angles (deg): 145.37 145.37 49.78
Element x y z (fractional)
Zr  0.000  0.000  0.000
In  0.387  0.387  0.000
In  0.613  0.613  0.000
Cu  0.250  0.750  0.500
Cu  0.750  0.250  0.500